No. 1
This record from Alexandria via LeMat-Bulk describes crystalline ZnCr3Si at its relaxed geometry. The functional is GGA-PBE.

Calculated volume: 17.200 A^3/atom
SG: Pm-3m, No. 221
Formation energy without anion corrections: 86.4 kJ/mol of atoms
Polymorph energy (0 for the lowest one): 0 meV per atom
Raw total energy: -6.22 eV/atom

Structure (CIF):
```
data_ZnCr3Si
_cell_length_a 4.4140
_cell_length_b 4.4140
_cell_length_c 4.4140
_cell_angle_alpha 90.00
_cell_angle_beta 90.00
_cell_angle_gamma 90.00
_symmetry_space_group_name_H-M 'P 1'
_symmetry_Int_Tables_number 1
_symmetry_space_group_name_Hall 'P 1'
loop_
_atom_site_label
_atom_site_type_symbol
_atom_site_fract_x
_atom_site_fract_y
_atom_site_fract_z
Zn1 Zn 0.0000 0.0000 0.0000
Cr1 Cr 0.0000 0.5000 0.5000
Cr2 Cr 0.5000 0.0000 0.5000
Cr3 Cr 0.5000 0.5000 0.0000
Si1 Si 0.5000 0.5000 0.5000
```



No. 2
This record from Alexandria via LeMat-Bulk describes crystalline ZnCrSi at its relaxed geometry. The functional is GGA-PBE.

Calculated volume: 13.625 A^3/atom
SG: P4/nmm, No. 129
Formation energy without anion corrections: 8.8 kJ/mol of atoms
Polymorph energy (0 for the lowest one): 0 meV per atom
Raw total energy: -5.35 eV/atom

Structure (CIF):
```
data_ZnCrSi
_cell_length_a 3.5550
_cell_length_b 3.5550
_cell_length_c 6.4687
_cell_angle_alpha 90.00
_cell_angle_beta 90.00
_cell_angle_gamma 90.00
_symmetry_space_group_name_H-M 'P 1'
_symmetry_Int_Tables_number 1
_symmetry_space_group_name_Hall 'P 1'
loop_
_atom_site_label
_atom_site_type_symbol
_atom_site_fract_x
_atom_site_fract_y
_atom_site_fract_z
Zn1 Zn 0.2500 0.7500 0.0000
Zn2 Zn 0.7500 0.2500 0.0000
Cr1 Cr 0.2500 0.2500 0.3381
Cr2 Cr 0.7500 0.7500 0.6619
Si1 Si 0.2500 0.2500 0.7024
Si2 Si 0.7500 0.7500 0.2976
```



No. 3
This record from Alexandria via LeMat-Bulk describes crystalline ZnCrSi at its relaxed geometry. The functional is GGA-PBE.

Calculated volume: 16.279 A^3/atom
SG: F-43m, No. 216
Formation energy without anion corrections: 19.4 kJ/mol of atoms
Polymorph energy (0 for the lowest one): 110 meV per atom
Raw total energy: -5.24 eV/atom

Structure (CIF):
```
data_ZnCrSi
_cell_length_a 4.1029
_cell_length_b 4.1029
_cell_length_c 4.1029
_cell_angle_alpha 60.00
_cell_angle_beta 60.00
_cell_angle_gamma 60.00
_symmetry_space_group_name_H-M 'P 1'
_symmetry_Int_Tables_number 1
_symmetry_space_group_name_Hall 'P 1'
loop_
_atom_site_label
_atom_site_type_symbol
_atom_site_fract_x
_atom_site_fract_y
_atom_site_fract_z
Zn1 Zn 0.0000 0.0000 0.0000
Cr1 Cr 0.5000 0.5000 0.5000
Si1 Si 0.2500 0.2500 0.2500
```



No. 4
This record from Alexandria via LeMat-Bulk describes crystalline Zn3CrSi at its relaxed geometry. The functional is GGA-PBE.

Calculated volume: 22.049 A^3/atom
SG: Pm-3m, No. 221
Formation energy without anion corrections: 100.3 kJ/mol of atoms
Polymorph energy (0 for the lowest one): 0 meV per atom
Raw total energy: -2.73 eV/atom

Structure (CIF):
```
data_Zn3CrSi
_cell_length_a 4.7950
_cell_length_b 4.7950
_cell_length_c 4.7950
_cell_angle_alpha 90.00
_cell_angle_beta 90.00
_cell_angle_gamma 90.00
_symmetry_space_group_name_H-M 'P 1'
_symmetry_Int_Tables_number 1
_symmetry_space_group_name_Hall 'P 1'
loop_
_atom_site_label
_atom_site_type_symbol
_atom_site_fract_x
_atom_site_fract_y
_atom_site_fract_z
Zn1 Zn 0.0000 0.0000 0.5000
Zn2 Zn 0.0000 0.5000 0.0000
Zn3 Zn 0.5000 0.0000 0.0000
Cr1 Cr 0.0000 0.0000 0.0000
Si1 Si 0.5000 0.5000 0.5000
```



No. 5
This record from Alexandria via LeMat-Bulk describes crystalline ZnCr3Si at its relaxed geometry. The functional is GGA-PBE.

Calculated volume: 18.367 A^3/atom
SG: Pm-3m, No. 221
Formation energy without anion corrections: 132.9 kJ/mol of atoms
Polymorph energy (0 for the lowest one): 482 meV per atom
Raw total energy: -5.74 eV/atom

Structure (CIF):
```
data_ZnCr3Si
_cell_length_a 4.5116
_cell_length_b 4.5116
_cell_length_c 4.5116
_cell_angle_alpha 90.00
_cell_angle_beta 90.00
_cell_angle_gamma 90.00
_symmetry_space_group_name_H-M 'P 1'
_symmetry_Int_Tables_number 1
_symmetry_space_group_name_Hall 'P 1'
loop_
_atom_site_label
_atom_site_type_symbol
_atom_site_fract_x
_atom_site_fract_y
_atom_site_fract_z
Zn1 Zn 0.0000 0.0000 0.0000
Cr1 Cr 0.0000 0.0000 0.5000
Cr2 Cr 0.0000 0.5000 0.0000
Cr3 Cr 0.5000 0.0000 0.0000
Si1 Si 0.5000 0.5000 0.5000
```



No. 6
This record from Alexandria via LeMat-Bulk describes crystalline ZnCr2Si2 at its relaxed geometry. The functional is GGA-PBE.

Calculated volume: 13.897 A^3/atom
SG: I4/mmm, No. 139
Formation energy without anion corrections: 12.1 kJ/mol of atoms
Polymorph energy (0 for the lowest one): 202 meV per atom
Raw total energy: -6.15 eV/atom

Structure (CIF):
```
data_ZnCr2Si2
_cell_length_a 6.4881
_cell_length_b 6.4881
_cell_length_c 6.4881
_cell_angle_alpha 149.66
_cell_angle_beta 149.66
_cell_angle_gamma 43.44
_symmetry_space_group_name_H-M 'P 1'
_symmetry_Int_Tables_number 1
_symmetry_space_group_name_Hall 'P 1'
loop_
_atom_site_label
_atom_site_type_symbol
_atom_site_fract_x
_atom_site_fract_y
_atom_site_fract_z
Zn1 Zn 0.0000 0.0000 0.0000
Cr1 Cr 0.3963 0.3963 0.0000
Cr2 Cr 0.6037 0.6037 0.0000
Si1 Si 0.2500 0.7500 0.5000
Si2 Si 0.7500 0.2500 0.5000
```



No. 7
This record from Alexandria via LeMat-Bulk describes crystalline ZnCrSi at its relaxed geometry. The functional is GGA-PBE.

Calculated volume: 13.451 A^3/atom
SG: Fmm2, No. 42
Formation energy without anion corrections: 22.2 kJ/mol of atoms
Polymorph energy (0 for the lowest one): 139 meV per atom
Raw total energy: -5.21 eV/atom

Structure (CIF):
```
data_ZnCrSi
_cell_length_a 6.4384
_cell_length_b 6.3323
_cell_length_c 2.5953
_cell_angle_alpha 80.58
_cell_angle_beta 75.99
_cell_angle_gamma 23.43
_symmetry_space_group_name_H-M 'P 1'
_symmetry_Int_Tables_number 1
_symmetry_space_group_name_Hall 'P 1'
loop_
_atom_site_label
_atom_site_type_symbol
_atom_site_fract_x
_atom_site_fract_y
_atom_site_fract_z
Zn1 Zn 0.0000 0.0000 0.0000
Cr1 Cr 0.3358 0.3358 0.6642
Si1 Si 0.6904 0.6904 0.3096
```



No. 8
This record from Alexandria via LeMat-Bulk describes crystalline ZnCrSi at its relaxed geometry. The functional is GGA-PBE.

Calculated volume: 16.172 A^3/atom
SG: F-43m, No. 216
Formation energy without anion corrections: 27.9 kJ/mol of atoms
Polymorph energy (0 for the lowest one): 197 meV per atom
Raw total energy: -5.15 eV/atom

Structure (CIF):
```
data_ZnCrSi
_cell_length_a 4.0938
_cell_length_b 4.0938
_cell_length_c 4.0938
_cell_angle_alpha 60.00
_cell_angle_beta 60.00
_cell_angle_gamma 60.00
_symmetry_space_group_name_H-M 'P 1'
_symmetry_Int_Tables_number 1
_symmetry_space_group_name_Hall 'P 1'
loop_
_atom_site_label
_atom_site_type_symbol
_atom_site_fract_x
_atom_site_fract_y
_atom_site_fract_z
Zn1 Zn 0.0000 0.0000 0.0000
Cr1 Cr 0.7500 0.7500 0.7500
Si1 Si 0.5000 0.5000 0.5000
```



No. 9
This record from Alexandria via LeMat-Bulk describes crystalline ZnCrSi at its relaxed geometry. The functional is GGA-PBE.

Calculated volume: 12.599 A^3/atom
SG: P-6m2, No. 187
Formation energy without anion corrections: 14.5 kJ/mol of atoms
Polymorph energy (0 for the lowest one): 59 meV per atom
Raw total energy: -5.29 eV/atom

Structure (CIF):
```
data_ZnCrSi
_cell_length_a 4.1558
_cell_length_b 4.1558
_cell_length_c 2.5270
_cell_angle_alpha 90.00
_cell_angle_beta 90.00
_cell_angle_gamma 120.00
_symmetry_space_group_name_H-M 'P 1'
_symmetry_Int_Tables_number 1
_symmetry_space_group_name_Hall 'P 1'
loop_
_atom_site_label
_atom_site_type_symbol
_atom_site_fract_x
_atom_site_fract_y
_atom_site_fract_z
Zn1 Zn 0.0000 0.0000 0.0000
Cr1 Cr 0.3333 0.6667 0.5000
Si1 Si 0.6667 0.3333 0.0000
```



No. 10
This record from Alexandria via LeMat-Bulk describes crystalline ZnCr4Si at its relaxed geometry. The functional is GGA-PBE.

Calculated volume: 12.657 A^3/atom
SG: F-43m, No. 216
Formation energy without anion corrections: 29.8 kJ/mol of atoms
Raw total energy: -7.22 eV/atom

Structure (CIF):
```
data_ZnCr4Si
_cell_length_a 4.7533
_cell_length_b 4.7533
_cell_length_c 4.7533
_cell_angle_alpha 60.00
_cell_angle_beta 60.00
_cell_angle_gamma 60.00
_symmetry_space_group_name_H-M 'P 1'
_symmetry_Int_Tables_number 1
_symmetry_space_group_name_Hall 'P 1'
loop_
_atom_site_label
_atom_site_type_symbol
_atom_site_fract_x
_atom_site_fract_y
_atom_site_fract_z
Zn1 Zn 0.0000 0.0000 0.0000
Cr1 Cr 0.1220 0.6260 0.6260
Cr2 Cr 0.6260 0.1220 0.6260
Cr3 Cr 0.6260 0.6260 0.1220
Cr4 Cr 0.6260 0.6260 0.6260
Si1 Si 0.2500 0.2500 0.2500
```



No. 11
This record from Alexandria via LeMat-Bulk describes crystalline Zn3CrSi at its relaxed geometry. The functional is GGA-PBE.

Calculated volume: 19.052 A^3/atom
SG: Pm-3m, No. 221
Formation energy without anion corrections: 115.2 kJ/mol of atoms
Polymorph energy (0 for the lowest one): 154 meV per atom
Raw total energy: -2.58 eV/atom

Structure (CIF):
```
data_Zn3CrSi
_cell_length_a 4.5670
_cell_length_b 4.5670
_cell_length_c 4.5670
_cell_angle_alpha 90.00
_cell_angle_beta 90.00
_cell_angle_gamma 90.00
_symmetry_space_group_name_H-M 'P 1'
_symmetry_Int_Tables_number 1
_symmetry_space_group_name_Hall 'P 1'
loop_
_atom_site_label
_atom_site_type_symbol
_atom_site_fract_x
_atom_site_fract_y
_atom_site_fract_z
Zn1 Zn 0.0000 0.0000 0.5000
Zn2 Zn 0.0000 0.5000 0.0000
Zn3 Zn 0.5000 0.0000 0.0000
Cr1 Cr 0.5000 0.5000 0.5000
Si1 Si 0.0000 0.0000 0.0000
```



No. 12
This record from Alexandria via LeMat-Bulk describes crystalline Zr2CrSi at its relaxed geometry. The functional is GGA-PBE.

Calculated volume: 18.053 A^3/atom
SG: I-4m2, No. 119
Formation energy without anion corrections: -16.4 kJ/mol of atoms
Polymorph energy (0 for the lowest one): 220 meV per atom
Raw total energy: -8.21 eV/atom

Structure (CIF):
```
data_Zr2CrSi
_cell_length_a 5.4272
_cell_length_b 5.4272
_cell_length_c 5.4272
_cell_angle_alpha 137.47
_cell_angle_beta 137.47
_cell_angle_gamma 61.72
_symmetry_space_group_name_H-M 'P 1'
_symmetry_Int_Tables_number 1
_symmetry_space_group_name_Hall 'P 1'
loop_
_atom_site_label
_atom_site_type_symbol
_atom_site_fract_x
_atom_site_fract_y
_atom_site_fract_z
Zr1 Zr 0.0000 0.0000 0.0000
Zr2 Zr 0.7500 0.2500 0.5000
Cr1 Cr 0.2500 0.7500 0.5000
Si1 Si 0.5000 0.5000 0.0000
```



No. 13
This record from Alexandria via LeMat-Bulk describes crystalline Zr2CrSi at its relaxed geometry. The functional is GGA-PBE.

Calculated volume: 18.075 A^3/atom
SG: I4/mmm, No. 139
Formation energy without anion corrections: -16.0 kJ/mol of atoms
Polymorph energy (0 for the lowest one): 224 meV per atom
Raw total energy: -8.20 eV/atom

Structure (CIF):
```
data_Zr2CrSi
_cell_length_a 5.0374
_cell_length_b 5.0374
_cell_length_c 5.0374
_cell_angle_alpha 130.46
_cell_angle_beta 130.46
_cell_angle_gamma 72.67
_symmetry_space_group_name_H-M 'P 1'
_symmetry_Int_Tables_number 1
_symmetry_space_group_name_Hall 'P 1'
loop_
_atom_site_label
_atom_site_type_symbol
_atom_site_fract_x
_atom_site_fract_y
_atom_site_fract_z
Zr1 Zr 0.2500 0.7500 0.5000
Zr2 Zr 0.7500 0.2500 0.5000
Cr1 Cr 0.0000 0.0000 0.0000
Si1 Si 0.5000 0.5000 0.0000
```



No. 14
This record from Alexandria via LeMat-Bulk describes crystalline ZrCrSi at its relaxed geometry. The functional is GGA-PBE.

Calculated volume: 15.625 A^3/atom
SG: Pnma, No. 62
Formation energy without anion corrections: -58.4 kJ/mol of atoms
Raw total energy: -8.47 eV/atom

Structure (CIF):
```
data_ZrCrSi
_cell_length_a 6.7666
_cell_length_b 3.4989
_cell_length_c 7.9195
_cell_angle_alpha 90.00
_cell_angle_beta 90.00
_cell_angle_gamma 90.00
_symmetry_space_group_name_H-M 'P 1'
_symmetry_Int_Tables_number 1
_symmetry_space_group_name_Hall 'P 1'
loop_
_atom_site_label
_atom_site_type_symbol
_atom_site_fract_x
_atom_site_fract_y
_atom_site_fract_z
Zr1 Zr 0.0419 0.2500 0.1692
Zr2 Zr 0.4581 0.7500 0.6692
Zr3 Zr 0.5419 0.2500 0.3308
Zr4 Zr 0.9581 0.7500 0.8308
Cr1 Cr 0.1203 0.2500 0.5565
Cr2 Cr 0.3797 0.7500 0.0565
Cr3 Cr 0.6203 0.2500 0.9435
Cr4 Cr 0.8797 0.7500 0.4435
Si1 Si 0.2402 0.7500 0.3660
Si2 Si 0.2598 0.2500 0.8660
Si3 Si 0.7402 0.7500 0.1340
Si4 Si 0.7598 0.2500 0.6340
```



No. 15
This record from Alexandria via LeMat-Bulk describes crystalline Zr2CrSi at its relaxed geometry. The functional is GGA-PBE.

Calculated volume: 18.347 A^3/atom
SG: R-3m, No. 166
Formation energy without anion corrections: 9.4 kJ/mol of atoms
Polymorph energy (0 for the lowest one): 488 meV per atom
Raw total energy: -7.94 eV/atom

Structure (CIF):
```
data_Zr2CrSi
_cell_length_a 8.3625
_cell_length_b 8.3625
_cell_length_c 8.3625
_cell_angle_alpha 22.23
_cell_angle_beta 22.23
_cell_angle_gamma 22.23
_symmetry_space_group_name_H-M 'P 1'
_symmetry_Int_Tables_number 1
_symmetry_space_group_name_Hall 'P 1'
loop_
_atom_site_label
_atom_site_type_symbol
_atom_site_fract_x
_atom_site_fract_y
_atom_site_fract_z
Zr1 Zr 0.2464 0.2464 0.2464
Zr2 Zr 0.7536 0.7536 0.7536
Cr1 Cr 0.5000 0.5000 0.5000
Si1 Si 0.0000 0.0000 0.0000
```



Listing spin magnetization for the structures above in their given order: 7.77 1.94 3.47 3.42 9.13 2.68 0.54 2.52 0.36 0.00 0.33 2.41 2.55 0.00 0.01 μB/f.u..